No. 1
VASP calculation (meta-GGA SCAN) on BaSiOs2 at its PBEsol-relaxed geometry.

Cell and atoms, written as extended XYZ:
```
4
Lattice="-1.1233 -1.3812 -2.2877 -4.1723 -1.5740 2.9989 0.3053 5.3845 -1.5642" Properties=species:S:1:pos:R:3 pbc="T T T"
Si -0.5616 -0.6906 -1.1439
Ba -2.0862 -0.7870 1.4994
Os -4.0245 0.8184 -0.3547
Os -0.9659 1.6109 -0.4983
```

Calculated values
Uncorrected formation energy   0.92 eV/atom
Calculated total energy   -47.409 eV/atom
M_tot   0.000 μB/atom

No. 2
VASP calculation (meta-GGA SCAN) on Ba2SrOs at its PBEsol-relaxed geometry.

Cell and atoms, written as extended XYZ:
```
4
Lattice="-4.7381 -2.4605 -0.0536 3.2981 -0.6573 4.5425 -1.3666 2.5337 4.4965" Properties=species:S:1:pos:R:3 pbc="T T T"
Ba 0.1229 -0.3103 3.3820
Ba 0.0000 0.0000 0.0000
Os -3.0523 0.0366 2.2215
Sr -2.9294 -0.2737 5.6035
```

Calculated values
E above lowest polymorph   0.1714 eV per atom
Formation enthalpy at 0 K   763 meV/atom
Calculated total energy   -42.550 eV/atom
M_tot   0.000 μB/atom

No. 3
VASP calculation (meta-GGA SCAN) on Ba2SrOs at its PBEsol-relaxed geometry.

Cell and atoms, written as extended XYZ:
```
4
Lattice="3.6941 0.0874 0.0000 -0.0931 3.6940 0.0000 0.0000 0.0000 10.7117" Properties=species:S:1:pos:R:3 pbc="T T T"
Ba 1.8005 1.8907 7.1065
Ba 0.0000 0.0000 0.0421
Os 0.0000 0.0000 5.3176
Sr 1.8005 1.8907 3.6013
```

Calculated values
E above lowest polymorph   0.0000 eV per atom
Formation enthalpy at 0 K   592 meV/atom
Calculated total energy   -42.722 eV/atom
M_tot   0.175 μB/atom

No. 4
VASP calculation (meta-GGA SCAN) on BaSr2ZrOs at its PBEsol-relaxed geometry.

Cell and atoms, written as extended XYZ:
```
5
Lattice="5.0197 0.0000 0.0000 0.0000 6.0029 0.0000 0.0000 0.0000 6.0029" Properties=species:S:1:pos:R:3 pbc="T T T"
Sr 0.0000 0.0000 3.0014
Sr 0.0000 3.0014 0.0000
Os 0.0000 0.0000 0.0000
Zr 2.5098 0.0000 0.0000
Ba 2.5098 3.0014 3.0014
```

Calculated values
Formation enthalpy at 0 K   266 meV/atom
Calculated total energy   -37.070 eV/atom
M_tot   0.000 μB/atom

No. 5
VASP calculation (meta-GGA SCAN) on BaTa2Os at its PBEsol-relaxed geometry.

Cell and atoms, written as extended XYZ:
```
4
Lattice="-0.9104 -1.3613 -2.3926 5.0518 -2.0490 -0.7565 -3.7269 -2.9374 3.0893" Properties=species:S:1:pos:R:3 pbc="T T T"
Os 2.0707 -1.7051 -1.5745
Ba -0.4552 -0.6806 -1.1963
Ta -1.8634 -1.4687 1.5447
Ta 0.6625 -2.4932 1.1664
```

Calculated values
E above lowest polymorph   0.2005 eV per atom
Formation enthalpy at 0 K   1383 meV/atom
Calculated total energy   -59.766 eV/atom
M_tot   0.000 μB/atom

No. 6
VASP calculation (meta-GGA SCAN) on BaTa4Os at its PBEsol-relaxed geometry.

Cell and atoms, written as extended XYZ:
```
6
Lattice="-0.4266 -2.6885 4.8013 3.6374 -3.9471 1.2853 3.7173 0.8651 3.9869" Properties=species:S:1:pos:R:3 pbc="T T T"
Ta 2.5953 -2.1616 3.7735
Ta 2.3813 -3.5102 6.1819
Ta 4.4599 -1.7277 5.7734
Ta 4.4198 -4.1415 4.4182
Os 0.0000 0.0000 0.0000
Ba 5.1961 -4.3279 7.5552
```

Calculated values
Formation enthalpy at 0 K   943 meV/atom
Calculated total energy   -62.018 eV/atom
M_tot   0.000 μB/atom